Run one
Computed, not measured: an optimized crystal structure of TlHgGe at the PBE level of DFT.

Geometry as CIF:
```
data_TlHgGe
_chemical_formula_sum 'Tl1 Hg1 Ge1'
_cell_length_a 3.210
_cell_length_b 5.240
_cell_length_c 5.240
_cell_angle_alpha 120.00
_cell_angle_beta 90.00
_cell_angle_gamma 90.00
_space_group_name_H-M_alt 'P 1'
_space_group_IT_number 1
loop_
_space_group_symop_operation_xyz
'x,y,z'
loop_
_atom_site_label
_atom_site_type_symbol
_atom_site_fract_x
_atom_site_fract_y
_atom_site_fract_z
_atom_site_occupancy
Ge1 Ge 0.167 0.667 0.333 1
Tl1 Tl 0.667 0.333 0.667 1
Hg1 Hg 0.166 0.000 0.000 1
```

Run two
Computed, not measured: an optimized crystal structure of TlHgGe at the PBE level of DFT.

Geometry as CIF:
```
data_TlHgGe
_chemical_formula_sum 'Tl2 Hg2 Ge2'
_cell_length_a 3.281
_cell_length_b 6.282
_cell_length_c 8.284
_cell_angle_alpha 106.79
_cell_angle_beta 97.23
_cell_angle_gamma 91.62
_space_group_name_H-M_alt 'P 1'
_space_group_IT_number 1
loop_
_space_group_symop_operation_xyz
'x,y,z'
loop_
_atom_site_label
_atom_site_type_symbol
_atom_site_fract_x
_atom_site_fract_y
_atom_site_fract_z
_atom_site_occupancy
Tl1 Tl 0.037 0.049 0.103 1
Tl2 Tl 0.560 0.663 0.297 1
Ge1 Ge 0.733 0.284 0.455 1
Ge2 Ge 0.260 0.051 0.592 1
Hg1 Hg 0.440 0.382 0.910 1
Hg2 Hg 0.887 0.696 0.731 1
```

Most stable pick: run two. Distance to second place: 5.2 kJ/mol of atoms.